KVZn2F8: optimized geometry, GGA+U.

Unit cell a=8.4002 b=8.4002 c=8.4002 alpha=36.34 beta=36.34 gamma=36.34
Last column: nearest neighbours and their distance in Å.
Element x y z (fractional)
K 0.0000 0.0000 0.0000  12 F 3.03-3.30
V 0.5000 0.5000 0.5000  6 F 1.98
Zn 0.2449 0.2449 0.2449  4 F 1.86-1.96
Zn 0.7551 0.7551 0.7551  4 F 1.86-1.96
F 0.1460 0.7603 0.4469  1 Zn 1.96, 1 V 1.98
F 0.2397 0.5531 0.8540  1 Zn 1.96, 1 V 1.98
F 0.3240 0.3240 0.3240  1 Zn 1.86
F 0.4469 0.1460 0.7603  1 Zn 1.96, 1 V 1.98
F 0.5531 0.8540 0.2397  1 Zn 1.96, 1 V 1.98
F 0.6760 0.6760 0.6760  1 Zn 1.86
F 0.7603 0.4469 0.1460  1 Zn 1.96, 1 V 1.98
F 0.8540 0.2397 0.5531  1 Zn 1.96, 1 V 1.98

Summary:
**DFT total energy**: -56.4 eV/cell
**N(E_F)**: 0.000 states/eV per atom